(1)
Here is KAs2Ir after structural relaxation from the Alexandria database. Energies are from PBE-GGA.

Unit cell a=8.6021 b=8.6021 c=8.6021 alpha=156.19 beta=159.88 gamma=31.36
Last column: nearest neighbours and their distance in Å.
Fractional positions:
As  0.9800  0.9800  0.0000  4 Ir 2.65
As  0.6601  0.1601  0.5000  2 Ir 2.46
Ir  0.5573  0.5573  0.0000  6 As 2.46-2.65
K  0.3026  0.8026  0.5000  2 K 3.01, 6 As 3.30-3.31

Computed properties:
As for the formation energy: -0.123 eV/atom. The electronic total energy comes out at -4.937 eV per atom. The calculation puts the magnetic moment at 0.00 μB per cell.

(2)
Here is SnTePd2 after structural relaxation from the Alexandria database. Energies are from PBE-GGA.

Unit cell a=4.8331 b=4.8331 c=4.8331 alpha=60.00 beta=60.00 gamma=60.00
Last column: nearest neighbours and their distance in Å.
Fractional positions:
Te  0.5000  0.5000  0.5000  8 Pd 2.96
Sn  0.0000  0.0000  0.0000  8 Pd 2.96
Pd  0.2500  0.2500  0.2500  4 Sn 2.96, 4 Te 2.96
Pd  0.7500  0.7500  0.7500  4 Sn 2.96, 4 Te 2.96

Computed properties:
The calculation puts the formation energy without anion corrections at -0.259 eV/atom. The electronic total energy comes out at -4.641 eV per atom. The calculation puts the magnetic moment at 0.00 μB per cell.

(3)
Here is TlAg2Pb after structural relaxation from the Alexandria database. Energies are from PBE-GGA.

Unit cell a=9.6082 b=9.6082 c=9.6082 alpha=20.61 beta=20.61 gamma=20.61
Last column: nearest neighbours and their distance in Å.
Fractional positions:
Pb  0.7500  0.7500  0.7500  6 Ag 3.11, 6 Pb 3.44
Tl  0.2500  0.2500  0.2500  6 Ag 3.04
Ag  0.9984  0.9984  0.9984  3 Tl 3.04, 3 Pb 3.11
Ag  0.5016  0.5016  0.5016  3 Tl 3.04, 3 Pb 3.11

Computed properties:
As for the formation energy: 0.144 eV/atom. The electronic total energy comes out at -2.800 eV per atom. The calculation puts the magnetic moment at 0.00 μB per cell.

(4)
Here is Cd2HPd4 after structural relaxation from the Alexandria database. Energies are from PBE-GGA.

Unit cell a=5.6595 b=7.7027 c=9.8406 alpha=90.00 beta=90.00 gamma=90.00
Last column: nearest neighbours and their distance in Å.
Fractional positions:
Cd  0.7500  0.5084  0.3617  1 H 2.68, 9 Pd 2.73-2.83
Cd  0.2500  0.4916  0.6383  1 H 2.68, 9 Pd 2.73-2.83
Cd  0.2500  0.9916  0.8617  1 H 2.68, 9 Pd 2.73-2.83
Cd  0.7500  0.0084  0.1383  1 H 2.68, 9 Pd 2.73-2.83
Cd  0.7500  0.8549  0.5960  11 Pd 2.81-3.12
Cd  0.2500  0.1451  0.4040  11 Pd 2.81-3.12
Cd  0.2500  0.6451  0.0960  11 Pd 2.81-3.12
Cd  0.7500  0.3549  0.9040  11 Pd 2.81-3.12
H  0.7500  0.7754  0.9359  4 Pd 1.84-1.87
H  0.2500  0.2246  0.0641  4 Pd 1.84-1.87
H  0.2500  0.7246  0.4359  4 Pd 1.84-1.87
H  0.7500  0.2754  0.5641  4 Pd 1.84-1.87
Pd  0.4972  0.6764  0.8408  1 H 1.87
Pd  0.5028  0.3236  0.1592  1 H 1.87
Pd  0.5028  0.8236  0.3408  1 H 1.87
Pd  0.9972  0.3236  0.1592  1 H 1.87
Pd  0.4972  0.1764  0.6592  1 H 1.87
Pd  0.0028  0.6764  0.8408  1 H 1.87
Pd  0.0028  0.1764  0.6592  1 H 1.87
Pd  0.9972  0.8236  0.3408  1 H 1.87
Pd  0.7500  0.9939  0.8613  1 H 1.84
Pd  0.2500  0.0061  0.1387  1 H 1.84
Pd  0.2500  0.5061  0.3613  1 H 1.84
Pd  0.7500  0.4939  0.6387  1 H 1.84
Pd  0.7500  0.1495  0.4018  1 H 1.87
Pd  0.2500  0.8505  0.5982  1 H 1.87
Pd  0.2500  0.3505  0.9018  1 H 1.87
Pd  0.7500  0.6495  0.0982  1 H 1.87

Computed properties:
The electronic total energy comes out at -3.966 eV per atom. The calculation puts the magnetic moment at 0.00 μB per cell.

(5)
Here is Te2Se after structural relaxation from the Alexandria database. Energies are from PBE-GGA.

Unit cell a=5.5316 b=5.5316 c=3.0126 alpha=90.00 beta=90.00 gamma=120.00
Last column: nearest neighbours and their distance in Å.
Fractional positions:
Se  0.0000  0.0000  0.0000  2 Se 3.01
Te  0.3333  0.6667  0.5000  5 Te 3.01-3.19
Te  0.6667  0.3333  0.5000  5 Te 3.01-3.19

Computed properties:
The calculation puts the formation energy without anion corrections at 0.367 eV/atom. The electronic total energy comes out at -2.889 eV per atom. The calculation puts the magnetic moment at 0.00 μB per cell.